This record from Alexandria describes a relaxed CeMoClO4 crystal. The functional is GGA+U.

Properties
Spin magnetization   2.01 Bohr magnetons per cell
Energy above the most stable polymorph in this dataset   19 meV/atom
Space-group type   C2/m (12)

POSCAR file:
```
CeMoClO4
1.0
5.291 -3.757 0.000
5.291 3.757 0.000
-2.044 0.000 6.755
Ce Mo Cl O
2 2 2 8
Direct
0.225 0.225 0.116
0.775 0.775 0.884
0.363 0.363 0.732
0.637 0.637 0.268
0.012 0.012 0.766
0.988 0.988 0.234
0.115 0.491 0.847
0.294 0.294 0.470
0.461 0.461 0.204
0.491 0.115 0.847
0.509 0.885 0.153
0.539 0.539 0.796
0.706 0.706 0.530
0.885 0.509 0.153
```